Compound: Sr2AgGeH
Source: Alexandria
Functional: PBE-GGA
Structure: relaxed

Cell: 5.3404 5.3404 4.0726 Å, 90.00 90.00 90.00°
With the nearest neighbours (Å) after each atom.
Space group P4/mmm (No. 123)
Unique sites:
Sr: 0.0000 0.5000 0.0000 (multiplicity 2)  2 H 2.67
Ag: 0.0000 0.0000 0.5000 (multiplicity 1)  2 H 2.04
Ge: 0.5000 0.5000 0.5000 (multiplicity 1)  8 Sr 3.36
H: 0.0000 0.0000 0.0000 (multiplicity 1)  2 Ag 2.04

* spin magnetization: 0.0 μB/cell
* total energy: -15.959 eV for the cell shown